(1)
{"formula": "BaTm2Te4", "functional": "PBEsol", "state": "relaxed", "e_form_raw_ev_per_atom": -1.503, "e_tot_ev_per_cell": -146.29, "spacegroup": "Pnma, No. 62", "cell": [[-3.445, 0.779, -2.578], [-7.978, -6.572, 8.675], [-2.747, 13.607, 7.781]], "species": ["Tm", "Tm", "Tm", "Tm", "Tm", "Tm", "Tm", "Tm", "Te", "Te", "Te", "Te", "Te", "Te", "Te", "Te", "Te", "Te", "Te", "Te", "Te", "Te", "Te", "Te", "Ba", "Ba", "Ba", "Ba"], "frac_coords": [[0.250, 0.058, 0.891], [0.750, 0.442, 0.391], [0.750, 0.420, 0.904], [0.250, 0.080, 0.404], [0.250, 0.580, 0.096], [0.750, 0.942, 0.109], [0.750, 0.920, 0.596], [0.250, 0.558, 0.609], [0.750, 0.527, 0.216], [0.250, 0.473, 0.784], [0.750, 0.128, 0.528], [0.750, 0.628, 0.972], [0.250, 0.973, 0.716], [0.250, 0.372, 0.028], [0.250, 0.295, 0.343], [0.250, 0.795, 0.157], [0.750, 0.909, 0.924], [0.250, 0.591, 0.424], [0.750, 0.409, 0.576], [0.750, 0.205, 0.843], [0.750, 0.705, 0.657], [0.750, 0.027, 0.284], [0.250, 0.872, 0.472], [0.250, 0.091, 0.076], [0.250, 0.738, 0.829], [0.750, 0.262, 0.171], [0.750, 0.762, 0.329], [0.250, 0.238, 0.671]]}



(2)
{"formula": "BeP2W", "functional": "PBEsol", "state": "relaxed", "e_tot_ev_per_cell": -29.66, "spacegroup": "R-3m, No. 166", "e_form_mev_per_atom": -69, "cell": [[3.140, 0.000, 0.000], [1.570, 2.720, 0.000], [1.570, 0.907, 6.231]], "species": ["Be", "P", "P", "W"], "frac_coords": [[0.000, 0.000, 0.000], [0.256, 0.256, 0.231], [0.744, 0.744, 0.769], [0.500, 0.500, 0.500]]}



(3)
{"formula": "AlCoS2", "functional": "PBEsol", "state": "relaxed", "e_form_raw_ev_per_atom": -0.621, "e_tot_ev_per_cell": -46.16, "spacegroup": "I-42d, No. 122", "cell": [[5.192, 0.000, 0.000], [0.000, 5.192, 0.000], [-2.596, -2.596, 5.153]], "species": ["Co", "Co", "S", "S", "S", "S", "Al", "Al"], "frac_coords": [[0.000, 0.000, 0.000], [0.250, 0.750, 0.500], [0.366, 0.875, 0.250], [0.625, 0.634, 0.750], [0.125, 0.116, 0.750], [0.884, 0.375, 0.250], [0.750, 0.250, 0.500], [0.500, 0.500, 0.000]]}



(4)
{"formula": "Y2PtPb", "functional": "PBEsol", "state": "relaxed", "e_tot_ev_per_cell": -25.79, "spacegroup": "F-43m, No. 216", "e_form_mev_per_atom": -296, "cell": [[-0.671, 3.596, -3.467], [-2.498, -1.035, -4.253], [-4.589, 1.940, -0.763]], "species": ["Y", "Y", "Pt", "Pb"], "frac_coords": [[0.750, 0.750, 0.750], [0.000, 0.000, 0.000], [0.250, 0.250, 0.250], [0.500, 0.500, 0.500]]}



(5)
{"formula": "Rb2AgC2", "functional": "PBEsol", "state": "relaxed", "e_tot_ev_per_cell": -15.40, "spacegroup": "I4/mmm, No. 139", "e_form_mev_per_atom": 1851, "cell": [[6.018, 0.000, 0.000], [-3.009, 5.825, 0.020], [0.000, 3.091, 5.164]], "species": ["Ag", "Rb", "Rb", "C", "C"], "frac_coords": [[0.000, 0.000, 0.000], [0.250, 0.500, 0.250], [0.750, 0.500, 0.750], [0.187, 0.373, 0.813], [0.813, 0.627, 0.187]]}



(6)
{"formula": "CsTa3Se", "functional": "PBEsol", "state": "relaxed", "e_form_raw_ev_per_atom": 3.154, "e_tot_ev_per_cell": -26.68, "spacegroup": "Pm-3m, No. 221", "cell": [[-2.583, -2.783, 3.240], [3.622, -3.434, -0.062], [2.264, 2.319, 3.797]], "species": ["Se", "Ta", "Ta", "Ta", "Cs"], "frac_coords": [[0.500, 0.500, 0.500], [0.500, 0.000, 0.000], [0.000, 0.500, 0.000], [0.000, 0.000, 0.500], [0.000, 0.000, 0.000]]}



(7)
{"formula": "LaAsAu", "functional": "PBEsol", "state": "relaxed", "e_tot_ev_per_cell": -16.53, "spacegroup": "I4mm, No. 107", "e_form_mev_per_atom": -717, "cell": [[4.063, 0.094, 0.000], [-0.092, 4.063, 0.000], [-1.985, -2.078, 4.355]], "species": ["La", "Au", "As"], "frac_coords": [[0.340, 0.340, 0.680], [0.677, 0.677, 0.355], [0.983, 0.983, 0.965]]}



(8)
{"formula": "CoTe2H", "functional": "PBEsol", "state": "relaxed", "e_tot_ev_per_cell": -14.83, "spacegroup": "R-3m, No. 166", "cell": [[3.209, 0.000, 0.000], [1.605, 2.779, 0.000], [1.605, 0.926, 8.017]], "species": ["Co", "Te", "Te", "H"], "frac_coords": [[0.000, 0.000, 0.000], [0.900, 0.900, 0.300], [0.100, 0.100, 0.700], [0.500, 0.500, 0.500]]}